8
Lattice="-2.9221 3.6516 0.2435 -1.7386 -1.6395 3.7213 7.9804 5.9624 6.3552" Properties=species:S:1:pos:R:3 comment="Nd4TlSn3 | the Alexandria database | PBE | optimized geometry" sg="Pmm2 (25)" magmom_total_mub_per_cell=0.00 ef_ev_per_atom=-0.6846 pbc="T T T"
Nd 0.5816 3.1817 4.3014
Nd 6.0072 4.3179 7.3368
Nd 1.0845 0.8102 0.8636
Nd 3.6136 5.6172 4.1630
Tl -1.6174 1.5388 2.5502
Sn 3.8269 2.6889 5.6004
Sn 3.2785 2.4495 2.6109
Sn 5.8253 7.2696 5.9243

***

4
Lattice="4.8393 9.5496 3.7382 6.1124 7.1833 6.2949 7.8885 7.5498 3.0595" Properties=species:S:1:pos:R:3 comment="HgTe2P | the Alexandria database | PBE | optimized geometry" dft_energy_ev_per_atom=-2.85 sg="R-3m (166)" magmom_total_mub_per_cell=0.00 pbc="T T T"
P 9.4201 12.1414 6.5463
Te 16.6644 21.4785 11.5806
Te 2.1758 2.8043 1.5120
Hg 0.0000 0.0000 0.0000

***

4
Lattice="4.6444 -0.0085 0.0000 1.5110 4.3918 0.0000 -3.0777 -2.1916 2.7009" Properties=species:S:1:pos:R:3 comment="CuTcRh2 | the Alexandria database | PBE | optimized geometry" sg="I4/mmm (139)" magmom_total_mub_per_cell=0.47 ef_ev_per_atom=0.0281 pbc="T T T"
Cu 2.3222 -0.0042 1.3505
Rh 0.0000 0.0000 0.0000
Rh 3.0777 2.1916 0.0000
Tc 0.7555 2.1959 1.3505

***

5
Lattice="4.4908 0.0000 0.0000 0.0000 4.4908 0.0000 0.0000 0.0000 4.4908" Properties=species:S:1:pos:R:3 comment="ScCuRh3 | the Alexandria database | PBE | optimized geometry" sg="Pm-3m (221)" magmom_total_mub_per_cell=1.02 ef_ev_per_atom=0.4986 pbc="T T T"
Sc 2.2454 2.2454 2.2454
Rh 0.0000 2.2454 0.0000
Rh 0.0000 0.0000 2.2454
Rh 2.2454 0.0000 0.0000
Cu 0.0000 0.0000 0.0000

***

5
Lattice="-3.8116 -0.5375 -0.4448 -0.3096 -0.9107 3.7537 -3.5592 8.2103 3.6985" Properties=species:S:1:pos:R:3 comment="Tl2Zn2Te | the Alexandria database | PBE | optimized geometry" dft_energy_ev_per_atom=-2.05 sg="I4/mmm (139)" magmom_total_mub_per_cell=0.00 pbc="T T T"
Tl -2.3683 1.1101 2.0741
Tl -5.3122 5.6518 4.9333
Te 0.0000 0.0000 0.0000
Zn -4.7157 3.4743 2.4540
Zn -2.9647 3.2877 4.5533

***

3
Lattice="-2.4559 -0.0356 4.1046 -2.2405 -0.8716 -4.1353 0.6753 -3.5084 0.3736" Properties=species:S:1:pos:R:3 comment="CaTlFe | the Alexandria database | PBE | optimized geometry" sg="P-6m2 (187)" magmom_total_mub_per_cell=2.93 ef_ev_per_atom=0.2494 pbc="T T T"
Tl -1.9750 -2.3453 -1.2021
Ca 0.0000 -0.0001 0.0000
Fe -2.0461 -2.0703 1.5449

***

10
Lattice="3.7828 0.0000 0.0000 0.0000 3.7828 0.0000 0.0000 0.0000 18.8904" Properties=species:S:1:pos:R:3 comment="Nd5MgAg4 | the Alexandria database | PBE | optimized geometry" sg="P4/mmm (123)" magmom_total_mub_per_cell=0.00 ef_ev_per_atom=-0.2265 pbc="T T T"
Nd 1.8914 1.8914 1.9892
Nd 1.8914 1.8914 5.7107
Nd 1.8914 1.8914 9.4452
Nd 1.8914 1.8914 13.1797
Nd 1.8914 1.8914 16.9011
Mg 0.0000 0.0000 0.0000
Ag 0.0000 0.0000 3.8077
Ag 0.0000 0.0000 7.5868
Ag 0.0000 0.0000 11.3035
Ag 0.0000 0.0000 15.0827

***

4
Lattice="5.0671 0.0657 0.3113 4.3077 2.6690 0.3113 1.1710 0.3416 4.6277" Properties=species:S:1:pos:R:3 comment="ZrCu2Re | the Alexandria database | PBE | optimized geometry" sg="Cm (8)" magmom_total_mub_per_cell=0.00 ef_ev_per_atom=0.1773 pbc="T T T"
Cu 0.2246 0.0655 0.0719
Cu 7.7243 2.2532 3.7869
Re 5.1630 1.5061 2.8602
Zr 2.7069 0.7896 1.1565